Record 1
{"formula": "AlSi2Br", "functional": "PBE-GGA", "state": "optimized geometry", "cell": [[-1.8576, 1.9560, 2.7231], [-4.1280, -2.3519, -1.1267], [-0.8367, -4.1603, 2.4176]], "species": ["Si", "Si", "Al", "Br"], "frac_coords": [[0.0000, 0.0593, 0.0596], [0.5000, 0.2414, 0.2405], [0.0000, 0.4657, 0.4658], [0.5000, 0.7336, 0.7341]], "de_polymorph_mev_per_atom": 65, "dos_at_fermi_per_ev_fu": 0.36, "e_form_raw_mev_per_atom": 125}

=====

Record 2
{"formula": "AlSi2Br", "functional": "PBE-GGA", "state": "optimized geometry", "cell": [[-1.3377, 5.8547, 1.3523], [-3.1940, 2.0140, 4.8618], [4.7819, -3.0002, -2.4551]], "species": ["Si", "Si", "Al", "Br"], "frac_coords": [[0.9582, 0.9582, 0.0000], [0.5418, 0.5418, 0.0000], [0.7500, 0.2500, 0.5000], [0.2500, 0.7500, 0.5000]], "de_polymorph_mev_per_atom": 338, "dos_at_fermi_per_ev_fu": 1.62, "e_form_raw_mev_per_atom": 398}

=====

Record 3
{"formula": "AlSiBr4", "functional": "PBE-GGA", "state": "optimized geometry", "cell": [[-1.0243, 0.4156, 6.2169], [-5.8073, -0.9003, 2.3101], [-1.2981, -5.1989, 3.3404]], "species": ["Al", "Si", "Br", "Br", "Br", "Br"], "frac_coords": [[0.0000, 0.0000, 0.0000], [0.7500, 0.7500, 0.7500], [0.8747, 0.3751, 0.3751], [0.3751, 0.3751, 0.8747], [0.3751, 0.8747, 0.3751], [0.3751, 0.3751, 0.3751]], "dos_at_fermi_per_ev_fu": 8.53, "e_form_raw_mev_per_atom": 854}

=====

Record 4
{"formula": "AlSi2Br", "functional": "PBE-GGA", "state": "optimized geometry", "cell": [[-0.2390, 2.1036, 3.9430], [-3.3441, 2.1995, 2.0023], [-0.0660, -7.9261, -0.2859]], "species": ["Si", "Si", "Al", "Br"], "frac_coords": [[0.1084, 0.1084, 0.8703], [0.3916, 0.3916, 0.6297], [0.7500, 0.7500, 0.7500], [0.2500, 0.2500, 0.2500]], "de_polymorph_mev_per_atom": 162, "dos_at_fermi_per_ev_fu": 0.92, "e_form_raw_mev_per_atom": 221}

=====

Record 5
{"formula": "AlSiBr", "functional": "PBE-GGA", "state": "optimized geometry", "cell": [[-2.4172, 2.3867, 2.5676], [-1.8242, -2.4959, -2.9282], [-0.1755, -3.5587, 3.1427]], "species": ["Si", "Al", "Br"], "frac_coords": [[0.3333, 0.6667, 0.8330], [0.0000, 0.0000, 0.8342], [0.6667, 0.3333, 0.3328]], "de_polymorph_mev_per_atom": 114, "dos_at_fermi_per_ev_fu": 0.75, "e_form_raw_mev_per_atom": 184}

=====

Record 6
{"formula": "AlSi2Br", "functional": "PBE-GGA", "state": "optimized geometry", "cell": [[3.8539, 0.0000, 0.0000], [0.0000, 2.6564, 0.0000], [0.0000, 0.0000, 8.3907]], "species": ["Si", "Si", "Al", "Br"], "frac_coords": [[0.0000, 0.0000, 0.0890], [0.0000, 0.0000, 0.4110], [0.5000, 0.5000, 0.2500], [0.5000, 0.5000, 0.7500]], "de_polymorph_mev_per_atom": 286, "dos_at_fermi_per_ev_fu": 1.39, "e_form_raw_mev_per_atom": 345}

=====

Record 7
{"formula": "SmAl3Br12", "functional": "PBE-GGA", "state": "optimized geometry", "cell": [[-8.5103, 4.5370, -5.4752], [2.8824, -10.5258, -1.9712], [-11.8000, -5.7706, 13.5594]], "species": ["Sm", "Sm", "Sm", "Al", "Al", "Al", "Al", "Al", "Al", "Al", "Al", "Al", "Br", "Br", "Br", "Br", "Br", "Br", "Br", "Br", "Br", "Br", "Br", "Br", "Br", "Br", "Br", "Br", "Br", "Br", "Br", "Br", "Br", "Br", "Br", "Br", "Br", "Br", "Br", "Br", "Br", "Br", "Br", "Br", "Br", "Br", "Br", "Br"], "frac_coords": [[0.2460, 0.2460, 0.6667], [0.0000, 0.7540, 0.3333], [0.7540, 0.0000, 0.0000], [0.7168, 0.3781, 0.2662], [0.6613, 0.2832, 0.9329], [0.3387, 0.6219, 0.7338], [0.6219, 0.3387, 0.5996], [0.3781, 0.7168, 0.0671], [0.2832, 0.6613, 0.4004], [0.9294, 0.9294, 0.1667], [0.0000, 0.0706, 0.8333], [0.0706, 0.0000, 0.5000], [0.9524, 0.1400, 0.1307], [0.1876, 0.0476, 0.7973], [0.8124, 0.8600, 0.8693], [0.8600, 0.8124, 0.4640], [0.1400, 0.9524, 0.2027], [0.0476, 0.1876, 0.5360], [0.9347, 0.5556, 0.2167], [0.6209, 0.0653, 0.8834], [0.3791, 0.4444, 0.7833], [0.4444, 0.3791, 0.5500], [0.5556, 0.9347, 0.1166], [0.0653, 0.6209, 0.4500], [0.4624, 0.7989, 0.4736], [0.3366, 0.5376, 0.1403], [0.6634, 0.2011, 0.5264], [0.2011, 0.6634, 0.8069], [0.7989, 0.4624, 0.8597], [0.5376, 0.3366, 0.1931], [0.7896, 0.2806, 0.0340], [0.4910, 0.2104, 0.7007], [0.5090, 0.7194, 0.9660], [0.7194, 0.5090, 0.3673], [0.2806, 0.7896, 0.2993], [0.2104, 0.4910, 0.6327], [0.7931, 0.8321, 0.2679], [0.0390, 0.2069, 0.9346], [0.9610, 0.1679, 0.7321], [0.1679, 0.9610, 0.6013], [0.8321, 0.7931, 0.0654], [0.2069, 0.0390, 0.3987], [0.7349, 0.1910, 0.2993], [0.4561, 0.2651, 0.9660], [0.5439, 0.8090, 0.7007], [0.8090, 0.5439, 0.6327], [0.1910, 0.7349, 0.0340], [0.2651, 0.4561, 0.3673]], "dos_at_fermi_per_ev_fu": 0.00, "e_form_raw_mev_per_atom": -1309}

=====

Record 8
{"formula": "SmAlBr", "functional": "PBE-GGA", "state": "optimized geometry", "cell": [[4.2760, 0.0000, 0.0000], [2.1380, 3.7032, 0.0000], [2.1380, 1.2344, 11.5386]], "species": ["Sm", "Sm", "Br", "Br", "Al", "Al"], "frac_coords": [[0.5615, 0.5615, 0.3156], [0.4385, 0.4385, 0.6844], [0.2788, 0.2788, 0.1636], [0.7212, 0.7212, 0.8364], [0.8392, 0.8392, 0.4825], [0.1608, 0.1608, 0.5175]], "dos_at_fermi_per_ev_fu": 0.82, "e_form_raw_mev_per_atom": -1102}

=====

Record 9
{"formula": "Sm4Al2Br5", "functional": "PBE-GGA", "state": "optimized geometry", "cell": [[-3.0317, -0.2914, 2.3706], [3.9405, -6.5798, 4.2307], [7.3734, 6.7033, 7.1119]], "species": ["Sm", "Sm", "Sm", "Sm", "Al", "Al", "Br", "Br", "Br", "Br", "Br"], "frac_coords": [[0.6652, 0.5558, 0.3304], [0.0227, 0.7244, 0.0455], [0.3348, 0.4442, 0.6696], [0.9773, 0.2756, 0.9545], [0.5527, 0.4493, 0.1055], [0.4473, 0.5507, 0.8945], [0.1388, 0.8078, 0.2775], [0.8612, 0.1922, 0.7225], [0.2206, 0.3285, 0.4412], [0.5000, 0.0000, 0.0000], [0.7794, 0.6715, 0.5588]], "dos_at_fermi_per_ev_fu": 7.59, "e_form_raw_mev_per_atom": -1107}

=====

Record 10
{"formula": "Sm6AlTc2Br3", "functional": "PBE-GGA", "state": "optimized geometry", "cell": [[-0.6654, 1.4167, -3.7445], [1.2348, -8.4613, -3.4208], [-9.3036, 5.5772, 5.9628]], "species": ["Sm", "Sm", "Sm", "Sm", "Sm", "Sm", "Al", "Tc", "Tc", "Br", "Br", "Br"], "frac_coords": [[0.3531, 0.9695, 0.7062], [0.6876, 0.4854, 0.3751], [0.6469, 0.0305, 0.2938], [0.0283, 0.3047, 0.0567], [0.9717, 0.6953, 0.9433], [0.3124, 0.5146, 0.6249], [0.5000, 0.0000, 0.0000], [0.9024, 0.8578, 0.8048], [0.0976, 0.1422, 0.1952], [0.5000, 0.5000, 0.0000], [0.8165, 0.2426, 0.6329], [0.1835, 0.7574, 0.3671]], "dos_at_fermi_per_ev_fu": 9.27, "e_form_raw_mev_per_atom": -711}

=====

Record 11
{"formula": "Al2SnBr", "functional": "PBE-GGA", "state": "optimized geometry", "cell": [[-3.7274, 4.8537, -0.7931], [-4.8950, -3.5650, 1.1878], [-3.7890, 2.1212, 6.7816]], "species": ["Sn", "Sn", "Br", "Br", "Al", "Al", "Al", "Al"], "frac_coords": [[0.0000, 0.0000, 0.0000], [0.7500, 0.2500, 0.5000], [0.5000, 0.5000, 0.0000], [0.2500, 0.7500, 0.5000], [0.6449, 0.1250, 0.2500], [0.1051, 0.6250, 0.2500], [0.3750, 0.3551, 0.7500], [0.8750, 0.8949, 0.7500]], "de_polymorph_mev_per_atom": 0, "dos_at_fermi_per_ev_fu": 3.09, "e_form_raw_mev_per_atom": 180}

=====

Record 12
{"formula": "AlSnBr2", "functional": "PBE-GGA", "state": "optimized geometry", "cell": [[2.1337, 0.0000, 9.8005], [-1.0668, 1.8478, 9.8005], [-1.0668, -1.8478, 9.8005]], "species": ["Sn", "Br", "Br", "Al"], "frac_coords": [[0.0000, 0.0000, 0.0000], [0.9003, 0.9003, 0.9003], [0.0997, 0.0997, 0.0997], [0.5000, 0.5000, 0.5000]], "de_polymorph_mev_per_atom": 0, "dos_at_fermi_per_ev_fu": 1.99, "e_form_raw_mev_per_atom": -223}

=====

Record 13
{"formula": "AlSnBr2", "functional": "PBE-GGA", "state": "optimized geometry", "cell": [[8.3082, 0.0000, 0.0000], [0.0000, 8.3082, 0.0000], [4.1541, 4.1541, 3.4050]], "species": ["Sn", "Sn", "Br", "Br", "Br", "Br", "Al", "Al"], "frac_coords": [[0.0000, 0.0000, 0.0000], [0.7500, 0.2500, 0.5000], [0.6210, 0.1250, 0.2500], [0.1290, 0.6250, 0.2500], [0.3750, 0.3790, 0.7500], [0.8750, 0.8710, 0.7500], [0.5000, 0.5000, 0.0000], [0.2500, 0.7500, 0.5000]], "de_polymorph_mev_per_atom": 86, "dos_at_fermi_per_ev_fu": 1.58, "e_form_raw_mev_per_atom": -137}

=====

Record 14
{"formula": "Al3SnBr", "functional": "PBE-GGA", "state": "optimized geometry", "cell": [[5.4704, 0.0000, 0.0000], [0.0000, 5.4704, 0.0000], [0.0000, 0.0000, 5.4704]], "species": ["Sn", "Br", "Al", "Al", "Al"], "frac_coords": [[0.0000, 0.0000, 0.0000], [0.5000, 0.5000, 0.5000], [0.0000, 0.5000, 0.0000], [0.0000, 0.0000, 0.5000], [0.5000, 0.0000, 0.0000]], "de_polymorph_mev_per_atom": 0, "dos_at_fermi_per_ev_fu": 1.75, "e_form_raw_mev_per_atom": 586}

=====

Record 15
{"formula": "Al2SnBr8", "functional": "PBE-GGA", "state": "optimized geometry", "cell": [[-5.5650, -3.1588, 2.0155], [2.4081, -7.8070, -2.2875], [3.3320, -3.5377, 6.9543]], "species": ["Al", "Al", "Sn", "Br", "Br", "Br", "Br", "Br", "Br", "Br", "Br"], "frac_coords": [[0.6561, 0.8010, 0.8010], [0.3439, 0.1990, 0.1990], [0.0000, 0.0000, 0.0000], [0.2449, 0.2933, 0.9284], [0.7551, 0.0716, 0.7067], [0.3033, 0.8084, 0.8084], [0.6967, 0.1916, 0.1916], [0.2449, 0.9284, 0.2933], [0.7551, 0.7067, 0.0716], [0.7964, 0.6377, 0.6377], [0.2036, 0.3623, 0.3623]], "de_polymorph_mev_per_atom": 7, "dos_at_fermi_per_ev_fu": 0.00, "e_form_raw_mev_per_atom": -1028}

=====

Record 16
{"formula": "Al2SnBr8", "functional": "PBE-GGA", "state": "optimized geometry", "cell": [[8.6208, 0.0000, 3.8048], [3.6711, 9.8331, 3.3508], [0.3037, 0.2143, 10.9806]], "species": ["Al", "Al", "Al", "Al", "Sn", "Sn", "Br", "Br", "Br", "Br", "Br", "Br", "Br", "Br", "Br", "Br", "Br", "Br", "Br", "Br", "Br", "Br"], "frac_coords": [[0.8398, 0.8527, 0.9568], [0.3507, 0.3527, 0.4568], [0.6493, 0.6473, 0.5432], [0.1602, 0.1473, 0.0432], [0.0025, 0.7500, 0.2500], [0.9975, 0.2500, 0.7500], [0.3880, 0.7562, 0.5321], [0.1288, 0.9800, 0.2402], [0.7306, 0.9550, 0.1526], [0.2293, 0.1997, 0.4663], [0.2694, 0.0450, 0.8474], [0.8953, 0.3003, 0.0337], [0.7707, 0.8003, 0.5337], [0.1618, 0.4550, 0.6526], [0.1047, 0.6997, 0.9663], [0.6763, 0.7438, 0.9679], [0.6510, 0.4800, 0.7402], [0.3490, 0.5200, 0.2598], [0.3237, 0.2562, 0.0321], [0.8382, 0.5450, 0.3474], [0.6120, 0.2438, 0.4679], [0.8712, 0.0200, 0.7598]], "de_polymorph_mev_per_atom": 0, "dos_at_fermi_per_ev_fu": 0.00, "e_form_raw_mev_per_atom": -1035}

=====

Record 17
{"formula": "Al2SnBr", "functional": "PBE-GGA", "state": "optimized geometry", "cell": [[4.1590, -2.5540, -1.3655], [-0.3225, -4.9144, -1.1954], [0.5984, -1.4827, -4.8092]], "species": ["Sn", "Br", "Al", "Al"], "frac_coords": [[0.5000, 0.5000, 0.5000], [0.0000, 0.0000, 0.0000], [0.2500, 0.2500, 0.2500], [0.7500, 0.7500, 0.7500]], "de_polymorph_mev_per_atom": 5, "dos_at_fermi_per_ev_fu": 2.38, "e_form_raw_mev_per_atom": 186}

=====

Record 18
{"formula": "AlSnBr5", "functional": "PBE-GGA", "state": "optimized geometry", "cell": [[7.3158, 0.3866, -2.2743], [-1.6603, 7.1074, -2.3523], [-0.3315, -0.2529, 11.0375]], "species": ["Al", "Al", "Sn", "Sn", "Br", "Br", "Br", "Br", "Br", "Br", "Br", "Br", "Br", "Br"], "frac_coords": [[0.5965, 0.3448, 0.7463], [0.4025, 0.6511, 0.2466], [0.9985, 0.9962, 0.9854], [0.9901, 0.4879, 0.4853], [0.8989, 0.1771, 0.2704], [0.0952, 0.8722, 0.7710], [0.7315, 0.6905, 0.3246], [0.3488, 0.9062, 0.1768], [0.2681, 0.3715, 0.0581], [0.3120, 0.6844, 0.4342], [0.7509, 0.6228, 0.9343], [0.6873, 0.2912, 0.5578], [0.6354, 0.0932, 0.8237], [0.2716, 0.3284, 0.6764]], "dos_at_fermi_per_ev_fu": 0.00, "e_form_raw_mev_per_atom": -932}

=====

Record 19
{"formula": "AlSnBr2", "functional": "PBE-GGA", "state": "optimized geometry", "cell": [[0.0000, 3.7775, 3.7775], [3.7775, 0.0000, 3.7775], [3.7775, 3.7775, 0.0000]], "species": ["Sn", "Br", "Br", "Al"], "frac_coords": [[0.5000, 0.5000, 0.5000], [0.2500, 0.2500, 0.2500], [0.7500, 0.7500, 0.7500], [0.0000, 0.0000, 0.0000]], "de_polymorph_mev_per_atom": 150, "dos_at_fermi_per_ev_fu": 1.89, "e_form_raw_mev_per_atom": -73}

=====

Record 20
{"formula": "Al3SnBr", "functional": "PBE-GGA", "state": "optimized geometry", "cell": [[-2.9529, -0.9000, -4.2046], [2.8160, -4.2594, -1.0659], [-3.2495, -2.8733, 2.8971]], "species": ["Sn", "Br", "Al", "Al", "Al"], "frac_coords": [[0.5000, 0.5000, 0.5000], [0.0000, 0.0000, 0.0000], [0.0000, 0.5000, 0.0000], [0.0000, 0.0000, 0.5000], [0.5000, 0.0000, 0.0000]], "de_polymorph_mev_per_atom": 172, "dos_at_fermi_per_ev_fu": 2.94, "e_form_raw_mev_per_atom": 758}